A relaxed structure of Co2Ag. Source: Alexandria, functional PBE-GGA.

Computed properties:
As for the density of states at the Fermi level: 1.97 states/eV per atom. The energy of formation from the pure elements comes out at 1141 meV per atom. Its crystal system is tetragonal. The value obtained for the total moment is 3.8 μB/cell. The theoretical density is 7.4 g/cm3.

a = 4.2758 Å, b = 4.2758 Å, c = 2.7821 Å
α = 90.00°, β = 90.00°, γ = 90.00°
Atoms (fractional coordinates):
Co (0.5000, 0.0000, 0.5000)
Co (0.0000, 0.5000, 0.5000)
Ag (0.0000, 0.0000, 0.0000)



A relaxed structure of Hf2GaO. Source: Alexandria, functional PBE-GGA.

Computed properties:
As for the density of states at the Fermi level: 0.75 states/eV per atom. As for the energy relative to the elements, uncorrected: -980 meV per atom. Its crystal system is tetragonal. The value obtained for the total moment is 0.0 μB/cell. The theoretical density is 9.2 g/cm3.

a = 5.4444 Å, b = 5.4444 Å, c = 6.6092 Å
α = 65.68°, β = 65.68°, γ = 90.00°
Atoms (fractional coordinates):
Hf (0.2214, 0.6250, 0.2500)
Hf (0.5286, 0.1250, 0.2500)
Hf (0.3750, 0.4714, 0.7500)
Hf (0.8750, 0.7786, 0.7500)
Ga (0.7500, 0.2500, 0.5000)
Ga (0.0000, 0.0000, 0.0000)
O (0.2500, 0.7500, 0.5000)
O (0.5000, 0.5000, 0.0000)



A relaxed structure of LiMg2Co2. Source: Alexandria, functional PBE-GGA.

Computed properties:
As for the density of states at the Fermi level: 0.78 states/eV per atom. The energy of formation from the pure elements comes out at 185 meV per atom. Its crystal system is tetragonal. The value obtained for the total moment is 4.5 μB/cell. The theoretical density is 3.6 g/cm3.

a = 7.5247 Å, b = 7.5247 Å, c = 2.8202 Å
α = 90.00°, β = 90.00°, γ = 90.00°
Atoms (fractional coordinates):
Co (0.1048, 0.3952, 0.0000)
Co (0.3952, 0.8952, 0.0000)
Co (0.6048, 0.1048, 0.0000)
Co (0.8952, 0.6048, 0.0000)
Mg (0.6854, 0.8146, 0.5000)
Mg (0.1854, 0.6854, 0.5000)
Mg (0.8146, 0.3146, 0.5000)
Mg (0.3146, 0.1854, 0.5000)
Li (0.0000, 0.0000, 0.0000)
Li (0.5000, 0.5000, 0.0000)